[1]
# meta-GGA SCAN FePb2Br, PBEsol geometry
data_FePb2Br
_chemical_formula_sum 'Fe2 Pb4 Br2'
_cell_length_a 3.434
_cell_length_b 5.928
_cell_length_c 9.793
_cell_angle_alpha 90.00
_cell_angle_beta 90.00
_cell_angle_gamma 90.00
_space_group_name_H-M_alt 'C m m 2'
_space_group_IT_number 35
loop_
_space_group_symop_operation_xyz
'x,y,z'
'-x,-y,z'
'-x,y,z'
'x,-y,z'
'x+1/2,y+1/2,z'
'-x+1/2,-y+1/2,z'
'-x+1/2,y+1/2,z'
'x+1/2,-y+1/2,z'
loop_
_atom_site_label
_atom_site_fract_x
_atom_site_fract_y
_atom_site_fract_z
Fe1 0.000 0.000 0.000
Pb1 0.000 0.000 0.515
Pb2 0.000 0.500 0.221
Br1 0.000 0.500 0.825
# Calculated total energy in eV per cell: -377.5
# Formation energy (no corrections) in eV per formula unit: 0.40

[2]
# meta-GGA SCAN Cu7Ag, PBEsol geometry
data_Cu7Ag
_chemical_formula_sum 'Cu28 Ag4'
_cell_length_a 7.268
_cell_length_b 7.268
_cell_length_c 7.268
_cell_angle_alpha 90.00
_cell_angle_beta 90.00
_cell_angle_gamma 90.00
_space_group_name_H-M_alt 'F m -3 m'
_space_group_IT_number 225
_space_group_name_Hall '-F 4 2 3'
loop_
_atom_site_label
_atom_site_fract_x
_atom_site_fract_y
_atom_site_fract_z
Cu1 0.000 0.000 0.000
Cu2 0.000 0.250 0.250
Ag1 0.000 0.000 0.500
# E_form in meV per atom: 72.0
# Calculated total energy in eV per cell: -548.7

[3]
# meta-GGA SCAN ReRuC3, PBEsol geometry
data_ReRuC3
_chemical_formula_sum 'Re1 Ru1 C3'
_cell_length_a 3.952
_cell_length_b 3.952
_cell_length_c 3.952
_cell_angle_alpha 90.00
_cell_angle_beta 90.00
_cell_angle_gamma 90.00
_space_group_name_H-M_alt 'P m -3 m'
_space_group_IT_number 221
_space_group_name_Hall '-P 4 2 3'
loop_
_atom_site_label
_atom_site_fract_x
_atom_site_fract_y
_atom_site_fract_z
Re1 0.000 0.000 0.000
Ru1 0.500 0.500 0.500
C1 0.000 0.000 0.500
# E_form in meV per atom: 2143.7
# Calculated total energy in eV per cell: -125.5

[4]
# meta-GGA SCAN Si5Sb, PBEsol geometry
data_Si5Sb
_chemical_formula_sum 'Si10 Sb2'
_cell_length_a 3.360
_cell_length_b 3.494
_cell_length_c 17.974
_cell_angle_alpha 90.00
_cell_angle_beta 90.00
_cell_angle_gamma 90.00
_space_group_name_H-M_alt 'A m m 2'
_space_group_IT_number 38
loop_
_space_group_symop_operation_xyz
'x,y,z'
'-x,-y,z'
'-x,y,z'
'x,-y,z'
'x,y+1/2,z+1/2'
'-x,-y+1/2,z+1/2'
'-x,y+1/2,z+1/2'
'x,-y+1/2,z+1/2'
loop_
_atom_site_label
_atom_site_fract_x
_atom_site_fract_y
_atom_site_fract_z
Si1 0.000 0.000 0.000
Si2 0.000 0.000 0.291
Si3 0.000 0.000 0.642
Si4 0.500 0.000 0.100
Si5 0.500 0.000 0.751
Sb1 0.500 0.000 0.418
# Calculated total energy in eV per cell: -167.7
# Formation energy (no corrections) in eV per formula unit: 3.48

Repeat the first record exactly.
# meta-GGA SCAN FePb2Br, PBEsol geometry
data_FePb2Br
_chemical_formula_sum 'Fe2 Pb4 Br2'
_cell_length_a 3.434
_cell_length_b 5.928
_cell_length_c 9.793
_cell_angle_alpha 90.00
_cell_angle_beta 90.00
_cell_angle_gamma 90.00
_space_group_name_H-M_alt 'C m m 2'
_space_group_IT_number 35
loop_
_space_group_symop_operation_xyz
'x,y,z'
'-x,-y,z'
'-x,y,z'
'x,-y,z'
'x+1/2,y+1/2,z'
'-x+1/2,-y+1/2,z'
'-x+1/2,y+1/2,z'
'x+1/2,-y+1/2,z'
loop_
_atom_site_label
_atom_site_fract_x
_atom_site_fract_y
_atom_site_fract_z
Fe1 0.000 0.000 0.000
Pb1 0.000 0.000 0.515
Pb2 0.000 0.500 0.221
Br1 0.000 0.500 0.825
# Calculated total energy in eV per cell: -377.5
# Formation energy (no corrections) in eV per formula unit: 0.40